Compound: CuAsSe2
Source: the Alexandria database
Functional: GGA-PBE
Structure: optimized geometry

Unit cell a=7.6089 b=8.0874 c=6.2981 alpha=90.00 beta=90.00 gamma=90.00
Space group Pna2_1 (No. 33)
Symmetry-distinct sites (fractional):
Cu: 0.0548 0.1319 0.0000
As: 0.1385 0.6084 0.0021
Se: 0.0333 0.1460 0.3822
Se: 0.1421 0.6550 0.3826

Summary:
The formation energy without anion corrections is -0.081 eV/atom. For the total magnetic moment, the calculation gives 0.000 μB/atom.